No. 1
Computed, not measured: crystalline K2Rb3TcO6 at its relaxed geometry at the PBE-GGA level of DFT.

abc: 6.4637 6.4637 6.4988
angles: 99.69 99.69 119.72
Positions (direct):
1 K 0.3335 0.6665 0.0000
2 K 0.6665 0.3335 0.0000
3 Rb 0.1670 0.8330 0.5000
4 Rb 0.8330 0.1670 0.5000
5 Rb 0.5000 0.5000 0.5000
6 Tc 0.0000 0.0000 0.0000
7 O 0.9393 0.6947 0.8176
8 O 0.8181 0.8181 0.1822
9 O 0.0607 0.3053 0.1824
10 O 0.6947 0.9393 0.8176
11 O 0.1819 0.1819 0.8178
12 O 0.3053 0.0607 0.1824

Computed properties:
The value obtained for the formation energy (no corrections) is -140.4 kJ per mole of atoms. As for the space-group type: C2/m (12). The value obtained for the volume is 222.15 Å³ per cell.

***

No. 2
Computed, not measured: crystalline KRbTc2O8 at its relaxed geometry at the PBE-GGA level of DFT.

abc: 6.4185 6.4931 7.9987
angles: 59.57 66.35 60.38
Positions (direct):
1 K 0.0000 0.0000 0.0000
2 Rb 0.5000 0.5000 0.5000
3 Tc 0.2871 0.2361 0.1897
4 Tc 0.7129 0.7639 0.8103
5 O 0.8797 0.5149 0.7258
6 O 0.6486 0.6343 0.0684
7 O 0.1203 0.4851 0.2742
8 O 0.3514 0.3657 0.9316
9 O 0.5612 0.0442 0.2740
10 O 0.4388 0.9558 0.7260
11 O 0.1205 0.0442 0.2740
12 O 0.8795 0.9558 0.7260

Computed properties:
The value obtained for the formation energy (no corrections) is -161.1 kJ per mole of atoms. As for the space-group type: C2/m (12). The value obtained for the volume is 244.76 Å³ per cell.

***

No. 3
Computed, not measured: crystalline K3RbTc2O8 at its relaxed geometry at the PBE-GGA level of DFT.

abc: 6.3622 6.3622 8.3937
angles: 90.00 90.00 120.00
Last column: magnetic moment on the atom in μB.
Positions (direct):
1 K 0.3333 0.6667 0.6856  0.00
2 K 0.6667 0.3333 0.3144  0.00
3 K 0.0000 0.0000 0.0000  0.00
4 Rb 0.0000 0.0000 0.5000  0.00
5 Tc 0.3333 0.6667 0.1960  0.64
6 Tc 0.6667 0.3333 0.8040  0.64
7 O 0.3333 0.6667 0.9847  0.06
8 O 0.6667 0.3333 0.0153  0.06
9 O 0.1812 0.8188 0.2731  0.06
10 O 0.8188 0.1812 0.7269  0.06
11 O 0.1812 0.3624 0.2731  0.06
12 O 0.8188 0.6376 0.7269  0.06
13 O 0.6376 0.8188 0.2731  0.06
14 O 0.3624 0.1812 0.7269  0.06

Computed properties:
The value obtained for the formation energy (no corrections) is -157.7 kJ per mole of atoms. As for the space-group type: P-3m1 (164). The value obtained for the volume is 294.24 Å³ per cell.

***

No. 4
Computed, not measured: crystalline K3Rb2TcO6 at its relaxed geometry at the PBE-GGA level of DFT.

abc: 6.6370 6.6370 6.2807
angles: 100.56 100.56 120.11
Positions (direct):
1 K 0.1548 0.8452 0.5000
2 K 0.8452 0.1548 0.5000
3 K 0.5000 0.5000 0.5000
4 Rb 0.3316 0.6684 0.0000
5 Rb 0.6684 0.3316 0.0000
6 Tc 0.0000 0.0000 0.0000
7 O 0.9357 0.6984 0.8036
8 O 0.8229 0.8229 0.1835
9 O 0.0643 0.3016 0.1964
10 O 0.6984 0.9357 0.8036
11 O 0.1771 0.1771 0.8165
12 O 0.3016 0.0643 0.1964

Computed properties:
The value obtained for the formation energy (no corrections) is -141.2 kJ per mole of atoms. As for the space-group type: C2/m (12). The value obtained for the volume is 222.64 Å³ per cell.

***

No. 5
Computed, not measured: crystalline KRb2TcO4 at its relaxed geometry at the PBE-GGA level of DFT.

abc: 6.1406 6.1406 6.1406
angles: 95.86 116.68 116.68
Positions (direct):
1 K 0.5000 0.2500 0.7500
2 Rb 0.5000 0.7500 0.2500
3 Rb 0.0000 0.0000 0.0000
4 Tc 0.0000 0.5000 0.5000
5 O 0.6208 0.3741 0.3960
6 O 0.0219 0.2468 0.6259
7 O 0.9781 0.6040 0.2249
8 O 0.3792 0.7751 0.7532

Computed properties:
The value obtained for the formation energy (no corrections) is -147.1 kJ per mole of atoms. As for the space-group type: I-4 (82). The value obtained for the volume is 170.99 Å³ per cell.

***

No. 6
Computed, not measured: crystalline KRb3Tc2O8 at its relaxed geometry at the PBE-GGA level of DFT.

abc: 6.4357 6.4357 8.2402
angles: 90.00 90.00 120.00
Last column: magnetic moment on the atom in μB.
Positions (direct):
1 K 0.0000 0.0000 0.5000  0.00
2 Rb 0.3333 0.6667 0.6663  0.00
3 Rb 0.6667 0.3333 0.3337  0.00
4 Rb 0.0000 0.0000 0.0000  0.00
5 Tc 0.3333 0.6667 0.2102  0.64
6 Tc 0.6667 0.3333 0.7898  0.64
7 O 0.3333 0.6667 0.9951  0.05
8 O 0.6667 0.3333 0.0049  0.05
9 O 0.1832 0.8168 0.2904  0.06
10 O 0.8168 0.1832 0.7096  0.06
11 O 0.1832 0.3663 0.2904  0.06
12 O 0.8168 0.6337 0.7096  0.06
13 O 0.6337 0.8168 0.2904  0.06
14 O 0.3663 0.1832 0.7096  0.06

Computed properties:
The value obtained for the formation energy (no corrections) is -160.7 kJ per mole of atoms. As for the space-group type: P-3m1 (164). The value obtained for the volume is 295.57 Å³ per cell.

***

No. 7
Computed, not measured: crystalline K2RbTcO4 at its relaxed geometry at the PBE-GGA level of DFT.

abc: 6.3950 6.3950 6.0329
angles: 121.97 121.97 90.06
Positions (direct):
1 K 0.7502 0.2502 0.5005
2 K 0.2502 0.7502 0.5005
3 Rb 0.0006 0.0006 0.0012
4 Tc 0.4999 0.4999 0.9998
5 O 0.6113 0.6113 0.8412
6 O 0.3885 0.7696 0.1581
7 O 0.7696 0.3885 0.1581
8 O 0.2299 0.2299 0.8412

Computed properties:
The value obtained for the formation energy (no corrections) is -148.5 kJ per mole of atoms. As for the space-group type: Fmm2 (42). The value obtained for the volume is 163.40 Å³ per cell.

***

No. 8
Computed, not measured: crystalline K2RbTeO at its relaxed geometry at the PBE-GGA level of DFT.

abc: 5.4937 5.4937 5.3646
angles: 90.00 90.00 90.00
Last column: magnetic moment on the atom in μB.
Positions (direct):
1 K 0.0000 0.5000 0.0000  0.00
2 K 0.5000 0.0000 0.0000  0.00
3 Te 0.5000 0.5000 0.5000  0.20
4 O 0.0000 0.0000 0.0000  0.47
5 Rb 0.0000 0.0000 0.5000  0.03

Computed properties:
The value obtained for the formation energy (no corrections) is -90.1 kJ per mole of atoms. As for the space-group type: P4/mmm (123). The value obtained for the volume is 161.91 Å³ per cell.

***

No. 9
Computed, not measured: crystalline K3Rb2TeO6 at its relaxed geometry at the PBE-GGA level of DFT.

abc: 6.7814 6.7814 6.4336
angles: 100.94 100.94 119.58
Last column: magnetic moment on the atom in μB.
Positions (direct):
1 K 0.1558 0.8442 0.5000  0.00
2 K 0.8442 0.1558 0.5000  0.00
3 K 0.5000 0.5000 0.5000  0.00
4 Rb 0.3323 0.6677 0.0000  0.00
5 Rb 0.6677 0.3323 0.0000  0.00
6 Te 0.0000 0.0000 0.0000  -0.02
7 O 0.9357 0.6975 0.8008  0.15
8 O 0.8246 0.8246 0.1828  0.14
9 O 0.0643 0.3025 0.1992  0.15
10 O 0.6975 0.9357 0.8008  0.15
11 O 0.1754 0.1754 0.8172  0.14
12 O 0.3025 0.0643 0.1992  0.15

Computed properties:
The value obtained for the formation energy (no corrections) is -127.4 kJ per mole of atoms. As for the space-group type: C2/m (12). The value obtained for the volume is 238.28 Å³ per cell.

***

No. 10
Computed, not measured: crystalline K2RbTeO4 at its relaxed geometry at the PBE-GGA level of DFT.

abc: 7.8558 7.6274 7.2701
angles: 118.48 117.59 88.16
Last column: magnetic moment on the atom in μB.
Positions (direct):
1 K 0.4848 0.9794 0.9952  0.00
2 K 0.4844 0.9794 0.4688  0.00
3 K 0.0539 0.9744 0.5147  0.00
4 K 0.5498 0.4738 0.0119  0.00
5 Rb 0.9840 0.4773 0.9680  0.00
6 Rb 0.9841 0.4771 0.4933  0.00
7 Te 0.4362 0.4470 0.4415  0.14
8 Te 0.9253 0.9548 0.9401  0.14
9 O 0.1537 0.8271 0.9902  0.23
10 O 0.6528 0.3038 0.4783  0.22
11 O 0.2941 0.6768 0.4855  0.24
12 O 0.7687 0.1714 0.9700  0.23
13 O 0.8034 0.8175 0.0271  0.05
14 O 0.8028 0.8171 0.5934  0.05
15 O 0.3110 0.3117 0.5273  0.05
16 O 0.3108 0.3116 0.0948  0.05

Computed properties:
The value obtained for the formation energy (no corrections) is -127.0 kJ per mole of atoms. As for the space-group type: Cm (8). The value obtained for the volume is 329.22 Å³ per cell.

***

Number 1: uncorrected energy -5.2231 eV/atom. Number 2: uncorrected energy -6.8747 eV/atom. Number 3: uncorrected energy -6.2530 eV/atom. Number 4: uncorrected energy -5.2420 eV/atom. Number 5: uncorrected energy -5.6787 eV/atom. Number 6: uncorrected energy -6.2656 eV/atom. Number 7: uncorrected energy -5.7096 eV/atom. Number 8: uncorrected energy -3.1866 eV/atom. Number 9: uncorrected energy -4.4972 eV/atom. Number 10: uncorrected energy -4.5838 eV/atom.